# 1
A geometry-optimized La12In3H5 structure. Source: the Alexandria database, functional PBE.

Cell and atoms, written as POSCAR:
```
La12In3H5
1.0
-8.268 8.268 8.268
8.268 -8.268 8.268
8.268 8.268 -8.268
La In H
48 12 20
Direct
0.015 0.206 0.109 La
0.015 0.309 0.906 La
0.094 0.609 0.403 La
0.094 0.985 0.691 La
0.097 0.706 0.691 La
0.097 0.891 0.406 La
0.109 0.015 0.206 La
0.109 0.594 0.903 La
0.191 0.206 0.597 La
0.191 0.485 0.594 La
0.206 0.109 0.015 La
0.206 0.597 0.191 La
0.294 0.309 0.903 La
0.294 0.485 0.391 La
0.309 0.903 0.294 La
0.309 0.906 0.015 La
0.391 0.294 0.485 La
0.391 0.597 0.906 La
0.403 0.094 0.609 La
0.403 0.809 0.794 La
0.406 0.097 0.891 La
0.406 0.809 0.515 La
0.485 0.391 0.294 La
0.485 0.594 0.191 La
0.515 0.406 0.809 La
0.515 0.609 0.706 La
0.594 0.191 0.485 La
0.594 0.903 0.109 La
0.597 0.191 0.206 La
0.597 0.906 0.391 La
0.609 0.403 0.094 La
0.609 0.706 0.515 La
0.691 0.094 0.985 La
0.691 0.097 0.706 La
0.706 0.515 0.609 La
0.706 0.691 0.097 La
0.794 0.403 0.809 La
0.794 0.891 0.985 La
0.809 0.515 0.406 La
0.809 0.794 0.403 La
0.891 0.406 0.097 La
0.891 0.985 0.794 La
0.903 0.109 0.594 La
0.903 0.294 0.309 La
0.906 0.015 0.309 La
0.906 0.391 0.597 La
0.985 0.691 0.094 La
0.985 0.794 0.891 La
0.125 0.250 0.375 In
0.125 0.375 0.750 In
0.250 0.375 0.125 In
0.250 0.875 0.625 In
0.375 0.125 0.250 In
0.375 0.750 0.125 In
0.625 0.250 0.875 In
0.625 0.875 0.750 In
0.750 0.125 0.375 In
0.750 0.625 0.875 In
0.875 0.625 0.250 In
0.875 0.750 0.625 In
0.000 0.000 0.000 H
0.000 0.000 0.500 H
0.000 0.500 0.000 H
0.000 0.500 0.500 H
0.125 0.750 0.875 H
0.125 0.875 0.250 H
0.250 0.125 0.875 H
0.250 0.625 0.375 H
0.375 0.250 0.625 H
0.375 0.625 0.750 H
0.500 0.000 0.000 H
0.500 0.000 0.500 H
0.500 0.500 0.000 H
0.500 0.500 0.500 H
0.625 0.375 0.250 H
0.625 0.750 0.375 H
0.750 0.375 0.625 H
0.750 0.875 0.125 H
0.875 0.125 0.750 H
0.875 0.250 0.125 H
```

Output
E = -4.4567 eV per atom



# 2
A geometry-optimized AcLaEr structure. Source: the Alexandria database, functional PBE.

Cell and atoms, written as POSCAR:
```
AcLaEr
1.0
5.978 0.000 0.000
-2.989 5.177 0.000
0.000 0.000 7.346
Ac La Er
2 2 2
Direct
0.333 0.667 0.250 Ac
0.667 0.333 0.750 Ac
0.000 0.000 0.000 La
0.000 0.000 0.500 La
0.333 0.667 0.750 Er
0.667 0.333 0.250 Er
```

Output
E = -4.4074 eV per atom
energy of formation = 0.4 eV per formula unit
excess energy over the best structure of this formula in the dataset = 71 meV/atom



# 3
A geometry-optimized HoIO5 structure. Source: the Alexandria database, functional PBE.

Cell and atoms, written as POSCAR:
```
HoIO5
1.0
4.442 -3.196 0.000
4.442 3.196 0.000
-3.305 0.000 6.908
Ho I O
2 2 10
Direct
0.038 0.962 0.750 Ho
0.962 0.038 0.250 Ho
0.500 0.500 0.000 I
0.500 0.500 0.500 I
0.198 0.783 0.028 O
0.217 0.802 0.472 O
0.259 0.286 0.383 O
0.286 0.259 0.883 O
0.411 0.589 0.750 O
0.589 0.411 0.250 O
0.714 0.741 0.117 O
0.741 0.714 0.617 O
0.783 0.198 0.528 O
0.802 0.217 0.972 O
```

Output
E = -5.8634 eV per atom
energy relative to the elements, uncorrected = -1.446 eV per atom



# 4
A geometry-optimized CeBeGe2Rh structure. Source: the Alexandria database, functional PBE.

Cell and atoms, written as POSCAR:
```
CeBeGe2Rh
1.0
-2.029 2.029 5.251
2.029 -2.029 5.251
2.029 2.029 -5.251
Ce Be Ge Rh
1 1 2 1
Direct
0.000 0.000 0.000 Ce
0.750 0.250 0.500 Be
0.379 0.379 0.000 Ge
0.621 0.621 0.000 Ge
0.250 0.750 0.500 Rh
```

Output
E = -5.8539 eV per atom
energy of formation = -3.0 eV per formula unit



# 5
A geometry-optimized Cr2OsCl structure. Source: the Alexandria database, functional PBE.

Cell and atoms, written as POSCAR:
```
Cr2OsCl
1.0
2.923 0.000 0.000
0.000 3.668 0.000
0.000 0.000 5.971
Cr Os Cl
2 1 1
Direct
0.000 0.000 0.172 Cr
0.000 0.000 0.828 Cr
0.500 0.500 0.000 Os
0.500 0.500 0.500 Cl
```

Output
E = -7.4607 eV per atom
energy relative to the elements, uncorrected = 0.620 eV per atom
excess energy over the best structure of this formula in the dataset = 451 meV/atom



# 6
A geometry-optimized Fe2AgBr structure. Source: the Alexandria database, functional PBE.

Cell and atoms, written as POSCAR:
```
Fe2AgBr
1.0
-1.529 2.243 5.697
1.529 -2.243 5.697
1.529 2.243 -5.697
Fe Ag Br
2 1 1
Direct
0.000 0.000 0.000 Fe
0.839 0.339 0.500 Fe
0.376 0.876 0.500 Ag
0.650 0.650 0.000 Br
```

Output
E = -4.8555 eV per atom
energy relative to the elements, uncorrected = 0.507 eV per atom
excess energy over the best structure of this formula in the dataset = 165 meV/atom



# 7
A geometry-optimized La2SmTm7 structure. Source: the Alexandria database, functional PBE.

Cell and atoms, written as POSCAR:
```
La2SmTm7
1.0
3.245 -14.413 0.000
3.245 14.413 0.000
0.000 0.000 3.510
La Sm Tm
2 1 7
Direct
0.208 0.792 0.000 La
0.792 0.208 0.000 La
0.500 0.500 0.500 Sm
0.000 0.000 0.000 Tm
0.156 0.352 0.000 Tm
0.317 0.683 0.500 Tm
0.352 0.156 0.000 Tm
0.648 0.844 0.000 Tm
0.683 0.317 0.500 Tm
0.844 0.648 0.000 Tm
```

Output
E = -4.4206 eV per atom
energy of formation = 1.7 eV per formula unit
excess energy over the best structure of this formula in the dataset = 135 meV/atom



# 8
A geometry-optimized TaNbPt3 structure. Source: the Alexandria database, functional PBE.

Cell and atoms, written as POSCAR:
```
TaNbPt3
1.0
6.950 0.000 0.000
0.000 6.893 0.000
0.000 0.000 7.221
Ta Nb Pt
4 4 12
Direct
0.191 0.250 0.074 Ta
0.309 0.750 0.574 Ta
0.691 0.250 0.426 Ta
0.809 0.750 0.926 Ta
0.000 0.000 0.500 Nb
0.000 0.500 0.500 Nb
0.500 0.000 0.000 Nb
0.500 0.500 0.000 Nb
0.132 0.553 0.850 Pt
0.132 0.947 0.850 Pt
0.154 0.750 0.200 Pt
0.346 0.250 0.700 Pt
0.368 0.053 0.350 Pt
0.368 0.447 0.350 Pt
0.632 0.553 0.650 Pt
0.632 0.947 0.650 Pt
0.654 0.750 0.300 Pt
0.846 0.250 0.800 Pt
0.868 0.053 0.150 Pt
0.868 0.447 0.150 Pt
```

Output
E = -8.4293 eV per atom
energy of formation = -2.1 eV per formula unit
excess energy over the best structure of this formula in the dataset = 0 meV/atom



# 9
A geometry-optimized BaNiC4Br structure. Source: the Alexandria database, functional PBE.

Cell and atoms, written as POSCAR:
```
BaNiC4Br
1.0
4.997 0.000 0.000
0.000 4.997 0.000
0.000 0.000 5.023
Ba Ni C Br
1 1 4 1
Direct
0.000 0.000 0.000 Ba
0.500 0.500 0.500 Ni
0.125 0.500 0.500 C
0.500 0.125 0.500 C
0.500 0.875 0.500 C
0.875 0.500 0.500 C
0.500 0.500 0.000 Br
```

Output
E = -6.3813 eV per atom
energy relative to the elements, uncorrected = 0.229 eV per atom



# 10
A geometry-optimized Si2SbCl structure. Source: the Alexandria database, functional PBE.

Cell and atoms, written as POSCAR:
```
Si2SbCl
1.0
-1.603 2.367 5.601
1.603 -2.367 5.601
1.603 2.367 -5.601
Si Sb Cl
2 1 1
Direct
0.222 0.222 0.000 Si
0.778 0.778 0.000 Si
0.000 0.500 0.500 Sb
0.500 0.000 0.500 Cl
```

Output
E = -3.7538 eV per atom
energy relative to the elements, uncorrected = 0.450 eV per atom
excess energy over the best structure of this formula in the dataset = 570 meV/atom



# 11
A geometry-optimized BaZnCo2 structure. Source: the Alexandria database, functional PBE.

Cell and atoms, written as POSCAR:
```
BaZnCo2
1.0
3.071 -4.390 0.000
3.071 4.390 0.000
-1.442 0.000 2.764
Ba Zn Co
1 1 2
Direct
0.000 0.000 0.000 Ba
0.500 0.500 0.000 Zn
0.000 0.500 0.500 Co
0.500 0.000 0.500 Co
```

Output
E = -3.4773 eV per atom
energy of formation = 3.5 eV per formula unit



# 12
A geometry-optimized InMoPd2Pb structure. Source: the Alexandria database, functional PBE.

Cell and atoms, written as POSCAR:
```
InMoPd2Pb
1.0
4.907 0.000 0.000
0.000 4.907 0.000
0.000 0.000 5.270
In Mo Pd Pb
1 1 2 1
Direct
0.000 0.000 0.000 In
0.000 0.000 0.500 Mo
0.000 0.500 0.500 Pd
0.500 0.000 0.500 Pd
0.500 0.500 0.000 Pb
```

Output
E = -4.7604 eV per atom
energy of formation = 3.9 eV per formula unit



# 13
A geometry-optimized Rb2HfBr7 structure. Source: the Alexandria database, functional PBE.

Cell and atoms, written as POSCAR:
```
Rb2HfBr7
1.0
-4.132 4.132 6.159
4.132 -4.132 6.159
4.132 4.132 -6.159
Rb Hf Br
2 1 7
Direct
0.250 0.750 0.500 Rb
0.750 0.250 0.500 Rb
0.000 0.000 0.000 Hf
0.213 0.213 0.000 Br
0.224 0.224 0.449 Br
0.224 0.776 0.000 Br
0.500 0.500 0.000 Br
0.776 0.224 0.000 Br
0.776 0.776 0.551 Br
0.787 0.787 0.000 Br
```

Output
E = -3.6490 eV per atom
energy relative to the elements, uncorrected = -1.289 eV per atom



# 14
A geometry-optimized Ho2AlCd2 structure. Source: the Alexandria database, functional PBE.

Cell and atoms, written as POSCAR:
```
Ho2AlCd2
1.0
2.359 -7.466 0.000
2.359 7.466 0.000
0.000 0.000 3.374
Ho Al Cd
2 1 2
Direct
0.108 0.892 0.000 Ho
0.892 0.108 0.000 Ho
0.500 0.500 0.500 Al
0.303 0.697 0.500 Cd
0.697 0.303 0.500 Cd
```

Output
E = -3.2317 eV per atom
energy of formation = -1.4 eV per formula unit